SnP2I, relaxed, DFT PBE-GGA; uncorrected formation energy = 74.2 kJ/mol of atoms; SG = Fm-3m (225); N(E_F) = 2.621 states/eV per cell
1.0
0.0000 3.5171 3.5171
3.5171 0.0000 3.5171
3.5171 3.5171 0.0000
P I Sn
2 1 1
direct
0.2500 0.2500 0.2500
0.7500 0.7500 0.7500
0.5000 0.5000 0.5000
0.0000 0.0000 0.0000